Below is a geometry-optimized Dy2TlRuO8 structure, with properties calculated at the PBE level.

- Formation energy without anion corrections: -1.81 eV/atom
- SG: C2/m (12)
- Calculated density: 7.4 g/cm³
- Fermi-level density of states: 4.73 states/eV per cell

POSCAR file:
```
Dy2TlRuO8
1.0
3.3990 -3.5636 0.0000
3.3990 3.5636 0.0000
-0.0139 0.0000 7.0527
Dy Tl Ru O
2 1 1 8
direct
0.0017 0.0017 0.2551
0.9983 0.9983 0.7449
0.5000 0.5000 0.0000
0.5000 0.5000 0.5000
0.1982 0.1982 0.9991
0.2182 0.2182 0.5017
0.3138 0.6833 0.3035
0.3167 0.6862 0.6965
0.6833 0.3138 0.3035
0.6862 0.3167 0.6965
0.7818 0.7818 0.4983
0.8018 0.8018 0.0009
```

=====

Below is a geometry-optimized ReMoRu3 structure, with properties calculated at the PBE level.

- SG: Pm-3m (221)
- Calculated density: 10.0 g/cm³
- Energy above the most stable polymorph in this dataset: 1980.7 meV/atom
- Fermi-level density of states: 9.86 states/eV per cell

POSCAR file:
```
ReMoRu3
1.0
4.5989 0.0000 0.0000
0.0000 4.5989 0.0000
0.0000 0.0000 4.5989
Re Mo Ru
1 1 3
direct
0.0000 0.0000 0.0000
0.5000 0.5000 0.5000
0.0000 0.0000 0.5000
0.0000 0.5000 0.0000
0.5000 0.0000 0.0000
```

=====

Below is a geometry-optimized Zn8Cu structure, with properties calculated at the PBE level.

- SG: I4/mmm (139)
- Calculated density: 7.4 g/cm³
- Energy above the most stable polymorph in this dataset: 15.5 meV/atom
- Fermi-level density of states: 1.77 states/eV per cell

POSCAR file:
```
Zn8Cu
1.0
-4.8551 4.8551 1.3987
4.8551 -4.8551 1.3987
4.8551 4.8551 -1.3987
Zn Cu
8 1
direct
0.0000 0.3337 0.3337
0.0000 0.6663 0.6663
0.3337 0.0000 0.3337
0.3380 0.3380 0.6761
0.3380 0.6620 0.0000
0.6620 0.3380 0.0000
0.6620 0.6620 0.3239
0.6663 0.0000 0.6663
0.0000 0.0000 0.0000
```

=====

Below is a geometry-optimized KPuCO5 structure, with properties calculated at the PBE level.

- Formation energy without anion corrections: -1.89 eV/atom
- SG: C2/c (15)
- Calculated density: 5.7 g/cm³
- Energy above the most stable polymorph in this dataset: 336.8 meV/atom
- Fermi-level density of states: 9.41 states/eV per cell

POSCAR file:
```
KPuCO5
1.0
3.4466 -4.5315 0.0000
3.4466 4.5315 0.0000
-3.3635 0.0000 6.9812
K Pu C O
2 2 2 10
direct
0.1556 0.8444 0.7500
0.8444 0.1556 0.2500
0.5000 0.5000 0.0000
0.5000 0.5000 0.5000
0.1914 0.8086 0.2500
0.8086 0.1914 0.7500
0.0680 0.2690 0.8740
0.2059 0.6431 0.3592
0.2690 0.0680 0.3740
0.3569 0.7941 0.1407
0.4287 0.5713 0.7500
0.5713 0.4287 0.2500
0.6431 0.2059 0.8592
0.7310 0.9320 0.6260
0.7941 0.3569 0.6408
0.9320 0.7310 0.1260
```

=====

Below is a geometry-optimized SrSbOs2 structure, with properties calculated at the PBE level.

- Formation energy without anion corrections: 0.39 eV/atom
- SG: Pm (6)
- Calculated density: 9.9 g/cm³
- Fermi-level density of states: 3.06 states/eV per cell

POSCAR file:
```
SrSbOs2
1.0
3.7595 0.0000 0.0000
0.0000 4.1590 0.0000
-1.0728 0.0000 6.3564
Sr Sb Os
1 1 2
direct
0.0000 0.0000 0.0000
0.3949 0.5000 0.6794
0.5461 0.0000 0.4211
0.8448 0.5000 0.3774
```

=====

Below is a geometry-optimized RbPuGaS4 structure, with properties calculated at the PBE level.

- Formation energy without anion corrections: -1.12 eV/atom
- SG: P2_1/m (11)
- Calculated density: 4.7 g/cm³
- Fermi-level density of states: 17.54 states/eV per cell

POSCAR file:
```
RbPuGaS4
1.0
6.5046 0.0000 0.0000
0.0000 6.5902 0.0000
-2.9589 0.0000 8.7226
Rb Pu Ga S
2 2 2 8
direct
0.2390 0.2500 0.4438
0.7610 0.7500 0.5562
0.2719 0.2500 0.9480
0.7281 0.7500 0.0520
0.2690 0.7500 0.1635
0.7310 0.2500 0.8365
0.0398 0.7500 0.9184
0.0670 0.7500 0.3209
0.4857 0.5099 0.8046
0.4857 0.9901 0.8046
0.5143 0.0099 0.1954
0.5143 0.4901 0.1954
0.9330 0.2500 0.6791
0.9602 0.2500 0.0816
```

=====

Which formula does entry 5 have?
SrSbOs2

=====

What is the formula in the fourth record?
KPuCO5